[1]
A relaxed structure of NdTaO4, computed with PBE.

Geometry as extended XYZ:
```
12
Lattice="3.6111 -5.7054 0.0000 3.6111 5.7054 0.0000 -3.3352 0.0000 3.9546" Properties=species:S:1:pos:R:3 pbc="T T T"
Nd 1.1097 4.2053 2.9660
Nd 2.7773 -4.2053 0.9887
Ta 2.7773 1.1360 0.9887
Ta 1.1097 -1.1360 2.9660
O 1.3889 2.3467 1.3487
O -0.7725 0.3626 3.1624
O 0.8951 -0.3626 1.1850
O 4.1656 2.3467 0.6286
O -0.2787 -2.3467 3.3260
O 2.9919 0.3626 2.7696
O 4.6595 -0.3626 0.7923
O 2.4980 -2.3467 2.6059
```

Values from the calculation:
Calculated total energy in eV per atom: -9.285
Fermi-level density of states in states/eV per cell: 0.00
Total moment in μB per atom: 0.00
Energy relative to the elements, uncorrected in eV/atom: -3.209

---

[2]
A relaxed structure of KAl3Si3, computed with PBE.

Geometry as extended XYZ:
```
14
Lattice="7.0633 0.0000 0.0000 0.0000 7.0633 0.0000 0.0000 0.0000 7.0633" Properties=species:S:1:pos:R:3 pbc="T T T"
K 0.0000 0.0000 0.0000
K 3.5317 3.5317 3.5317
Al 0.0000 1.7658 3.5317
Al 0.0000 5.2975 3.5317
Al 1.7658 3.5317 0.0000
Al 3.5317 0.0000 1.7658
Al 3.5317 0.0000 5.2975
Al 5.2975 3.5317 0.0000
Si 0.0000 3.5317 1.7658
Si 0.0000 3.5317 5.2975
Si 1.7658 0.0000 3.5317
Si 3.5317 1.7658 0.0000
Si 3.5317 5.2975 0.0000
Si 5.2975 0.0000 3.5317
```

Values from the calculation:
Calculated total energy in eV per atom: -3.942
Fermi-level density of states in states/eV per cell: 11.26
Total moment in μB per atom: 0.00
Energy relative to the elements, uncorrected in eV/atom: 0.142